1.
## K2TlRh (GGA-PBEsol)

Data for a geometry-optimized K2TlRh structure.

Values from the calculation:
E in eV per atom: -2.947
Total magnetization in μB/cell: 0.0
ΔE_f in eV per atom: 0.312
Relative energy among the computed polymorphs in meV/atom: 121.6

CIF file:
```
data_K2TlRh
_chemical_formula_sum 'K4 Tl2 Rh2'
_cell_length_a 4.091
_cell_length_b 5.604
_cell_length_c 10.468
_cell_angle_alpha 90.00
_cell_angle_beta 90.00
_cell_angle_gamma 90.00
_symmetry_space_group_name_H-M 'I m m 2'
_symmetry_Int_Tables_number 44
_symmetry_space_group_name_Hall 'I 2 -2'
loop_
_atom_site_label
_atom_site_type_symbol
_atom_site_fract_x
_atom_site_fract_y
_atom_site_fract_z
_atom_site_occupancy
K1 K 0.000 0.000 0.000 1
K2 K 0.000 0.500 0.201 1
Tl1 Tl 0.000 0.000 0.416 1
Rh1 Rh 0.000 0.500 0.761 1
```

---

2.
## KRhW2 (GGA-PBEsol)

Data for a geometry-optimized KRhW2 structure.

Values from the calculation:
E in eV per atom: -7.557
Total magnetization in μB/cell: 0.0
ΔE_f in eV per atom: 1.664
Relative energy among the computed polymorphs in meV/atom: 865.9

CIF file:
```
data_KRhW2
_chemical_formula_sum 'K4 Rh4 W8'
_cell_length_a 6.361
_cell_length_b 6.361
_cell_length_c 6.361
_cell_angle_alpha 90.00
_cell_angle_beta 90.00
_cell_angle_gamma 90.00
_symmetry_space_group_name_H-M 'F m -3 m'
_symmetry_Int_Tables_number 225
_symmetry_space_group_name_Hall '-F 4 2 3'
loop_
_atom_site_label
_atom_site_type_symbol
_atom_site_fract_x
_atom_site_fract_y
_atom_site_fract_z
_atom_site_occupancy
K1 K 0.000 0.000 0.000 1
Rh1 Rh 0.000 0.000 0.500 1
W1 W 0.250 0.250 0.250 1
```

---

3.
## K2RhW (GGA-PBEsol)

Data for a geometry-optimized K2RhW structure.

Values from the calculation:
E in eV per atom: -4.751
Total magnetization in μB/cell: 0.0
ΔE_f in eV per atom: 1.302

CIF file:
```
data_K2RhW
_chemical_formula_sum 'K4 Rh2 W2'
_cell_length_a 5.213
_cell_length_b 11.403
_cell_length_c 2.742
_cell_angle_alpha 90.00
_cell_angle_beta 90.00
_cell_angle_gamma 90.00
_symmetry_space_group_name_H-M 'C m m m'
_symmetry_Int_Tables_number 65
_symmetry_space_group_name_Hall '-C 2 2'
loop_
_atom_site_label
_atom_site_type_symbol
_atom_site_fract_x
_atom_site_fract_y
_atom_site_fract_z
_atom_site_occupancy
K1 K 0.250 0.250 0.000 1
Rh1 Rh 0.000 0.000 0.500 1
W1 W 0.000 0.500 0.500 1
```

---

4.
## KRhW2 (GGA-PBEsol)

Data for a geometry-optimized KRhW2 structure.

Values from the calculation:
E in eV per atom: -8.281
Total magnetization in μB/cell: 0.0
ΔE_f in eV per atom: 0.940
Relative energy among the computed polymorphs in meV/atom: 141.8

CIF file:
```
data_KRhW2
_chemical_formula_sum 'K1 Rh1 W2'
_cell_length_a 2.704
_cell_length_b 3.933
_cell_length_c 8.089
_cell_angle_alpha 90.00
_cell_angle_beta 90.00
_cell_angle_gamma 90.00
_symmetry_space_group_name_H-M 'P m m m'
_symmetry_Int_Tables_number 47
_symmetry_space_group_name_Hall '-P 2 2'
loop_
_atom_site_label
_atom_site_type_symbol
_atom_site_fract_x
_atom_site_fract_y
_atom_site_fract_z
_atom_site_occupancy
K1 K 0.000 0.000 0.000 1
Rh1 Rh 0.000 0.000 0.500 1
W1 W 0.500 0.500 0.348 1
```

---

5.
## KRhW2 (GGA-PBEsol)

Data for a geometry-optimized KRhW2 structure.

Values from the calculation:
E in eV per atom: -8.344
Total magnetization in μB/cell: 0.0
ΔE_f in eV per atom: 0.877
Relative energy among the computed polymorphs in meV/atom: 78.9

CIF file:
```
data_KRhW2
_chemical_formula_sum 'K1 Rh1 W2'
_cell_length_a 2.703
_cell_length_b 2.703
_cell_length_c 10.140
_cell_angle_alpha 90.00
_cell_angle_beta 90.00
_cell_angle_gamma 90.00
_symmetry_space_group_name_H-M 'P 4/m m m'
_symmetry_Int_Tables_number 123
_symmetry_space_group_name_Hall '-P 4 2'
loop_
_atom_site_label
_atom_site_type_symbol
_atom_site_fract_x
_atom_site_fract_y
_atom_site_fract_z
_atom_site_occupancy
K1 K 0.000 0.000 0.000 1
Rh1 Rh 0.000 0.000 0.500 1
W1 W 0.500 0.500 0.308 1
```

---

6.
## KRhW2 (GGA-PBEsol)

Data for a geometry-optimized KRhW2 structure.

Values from the calculation:
E in eV per atom: -8.423
Total magnetization in μB/cell: 0.0
ΔE_f in eV per atom: 0.799
Relative energy among the computed polymorphs in meV/atom: 0.0

CIF file:
```
data_KRhW2
_chemical_formula_sum 'K1 Rh1 W2'
_cell_length_a 3.099
_cell_length_b 3.099
_cell_length_c 8.634
_cell_angle_alpha 90.00
_cell_angle_beta 90.00
_cell_angle_gamma 90.00
_symmetry_space_group_name_H-M 'P 4 m m'
_symmetry_Int_Tables_number 99
_symmetry_space_group_name_Hall 'P 4 -2'
loop_
_atom_site_label
_atom_site_type_symbol
_atom_site_fract_x
_atom_site_fract_y
_atom_site_fract_z
_atom_site_occupancy
K1 K 0.000 0.000 0.000 1
Rh1 Rh 0.500 0.500 0.302 1
W1 W 0.000 0.000 0.469 1
W2 W 0.500 0.500 0.640 1
```